Below is a crystal of CaBAs3 relaxed with PBEsol, with properties calculated at the SCAN level.

Results
**Magnetization**: 0.000 μB per atom
**Total energy**: -76.45 eV per cell
**Calculated formation energy**: 0.242 eV/atom
**SG**: No. 221

Unit cell a=4.522 b=4.522 c=4.522 alpha=90.00 beta=90.00 gamma=90.00
Atoms (fractional coordinates):
Ca 0.000 0.000 0.000
B 0.500 0.500 0.500
As 0.000 0.500 0.500
As 0.500 0.000 0.500
As 0.500 0.500 0.000